DFT (PBE-GGA) results for crystalline CsRhCl6 at its relaxed geometry.

* Fermi-level density of states: 0.88 states/eV/atom
* energy relative to the elements, uncorrected: -739.7 meV per atom

a b c (Å): 8.1966 9.5655 6.4332
angles (deg): 90.00 105.14 90.00
Last column: nearest neighbours and their distance in Å.
Space group C2/m (No. 12)
One atom of each set of equivalent atoms:
Cs1 0.0000 0.0000 0.0000 x2  12 Cl 3.65-3.74
Rh1 0.0000 0.5000 0.5000 x2  6 Cl 2.32-2.33
Cl1 0.0968 0.3285 0.7596 x8  1 Rh 2.33
Cl2 0.2383 0.0000 0.5769 x4  1 Rh 2.32

=====

DFT (PBE-GGA) results for crystalline Cs2RhCl4 at its relaxed geometry.

* Fermi-level density of states: 1.02 states/eV/atom
* energy relative to the elements, uncorrected: -1287.9 meV per atom

a b c (Å): 7.6518 7.6518 9.4289
angles (deg): 90.00 90.00 90.00
Last column: nearest neighbours and their distance in Å.
Space group I4/mmm (No. 139)
One atom of each set of equivalent atoms:
Cs1 0.0000 0.5000 0.2500 x4  8 Cl 3.61
Rh1 0.0000 0.0000 0.0000 x2  4 Cl 2.34
Cl1 0.2159 0.2159 0.0000 x8  1 Rh 2.34

=====

DFT (PBE-GGA) results for crystalline Cs2Rh2Cl7 at its relaxed geometry.

* Fermi-level density of states: 0.40 states/eV/atom
* energy relative to the elements, uncorrected: -818.6 meV per atom

a b c (Å): 10.3292 11.5241 7.1288
angles (deg): 90.00 98.41 90.00
Last column: nearest neighbours and their distance in Å.
Space group C2/m (No. 12)
One atom of each set of equivalent atoms:
Cs1 0.0000 0.2350 0.0000 x4  6 Cl 3.50-3.62
Rh1 0.2234 0.5000 0.4833 x4  4 Cl 2.30-2.33
Cl1 0.0000 0.5000 0.5000 x2  2 Rh 2.33
Cl2 0.2116 0.0000 0.1910 x4  1 Rh 2.32
Cl3 0.2258 0.1512 0.7033 x8  1 Rh 2.30

=====

Q: energy relative to the elements, uncorrected of number 3 (Cs2Rh2Cl7)?
A: -818.6 meV per atom

=====

Q: Which value of Fermi-level density of states does entry 2 give?
A: 1.02 states/eV/atom